Below is a relaxed structure of YAl2Os, with properties calculated at the PBE-GGA level.

a = 5.7723 Å, b = 7.3282 Å, c = 3.3694 Å
α = 90.00°, β = 90.00°, γ = 90.00°
Closest atoms and distances in Å follow each position.
Space group Cmmm (No. 65)
Inequivalent atoms, fractional coordinates:
Y1 0.0000 0.0000 0.0000  8 Al 2.88, 2 Os 2.89
Al1 0.2500 0.2500 0.5000  4 Os 2.88, 4 Y 2.88, 2 Al 2.89
Os1 0.0000 0.5000 0.0000  8 Al 2.88, 2 Y 2.89

Results
DOS(E_F)	2.08	states/eV/f.u.
ΔH_f (0 K)	-6.9	meV per atom
volume	143	Å³/cell